An optimized crystal structure of Na4MnCr3O8, computed with PBE+U.

The total energy comes out at -6.470 eV/atom. The density is 4.19 g/cm³.

It has space group C2/m (No. 12), with a = 10.533 Å, b = 6.053 Å, c = 6.399 Å, α = 90.00°, β = 123.16° and γ = 90.00°. The distinct sites, in fractional coordinates, are Na at (0.000, 0.000, 0.000), Na at (0.000, 0.500, 0.000), Na at (0.250, 0.250, 0.000), Mn at (0.000, 0.000, 0.500), Cr at (0.000, 0.500, 0.500), Cr at (0.250, 0.250, 0.500), O at (0.017, 0.247, 0.305), O at (0.232, 0.500, 0.698) and O at (0.235, 0.000, 0.700).